1.
Compound: GaHI3
Source: the Alexandria database
Functional: PBE
Structure: relaxed

Summary:
* VASP energy: -2.321 eV/atom

Geometry as CIF:
```
data_GaHI3
_chemical_formula_sum 'Ga4 H4 I12'
_cell_length_a 6.6461
_cell_length_b 8.7247
_cell_length_c 17.0357
_cell_angle_alpha 90.00
_cell_angle_beta 97.95
_cell_angle_gamma 90.00
_symmetry_space_group_name_H-M 'P 1 21/c 1'
_symmetry_Int_Tables_number 14
loop_
_symmetry_equiv_pos_as_xyz
'x,y,z'
'-x,-y,-z'
'-x,y+1/2,-z+1/2'
'x,-y+1/2,z+1/2'
loop_
_atom_site_label
_atom_site_type_symbol
_atom_site_fract_x
_atom_site_fract_y
_atom_site_fract_z
Ga1 Ga 0.0331 0.1141 0.0911
H1 H 0.4845 0.2438 0.5220
I1 I 0.1550 0.1868 0.9371
I2 I 0.1675 0.1917 0.2401
I3 I 0.3368 0.6793 0.9066
```

2.
Compound: Sn5O6
Source: the Alexandria database
Functional: PBE
Structure: relaxed

Summary:
* VASP energy: -5.909 eV/atom
* ΔE_f (raw): -1.38 eV per atom

Geometry as CIF:
```
data_Sn5O6
_chemical_formula_sum 'Sn10 O12'
_cell_length_a 14.0271
_cell_length_b 4.9873
_cell_length_c 5.9020
_cell_angle_alpha 90.00
_cell_angle_beta 92.07
_cell_angle_gamma 90.00
_symmetry_space_group_name_H-M 'P 1 21/c 1'
_symmetry_Int_Tables_number 14
loop_
_symmetry_equiv_pos_as_xyz
'x,y,z'
'-x,-y,-z'
'-x,y+1/2,-z+1/2'
'x,-y+1/2,z+1/2'
loop_
_atom_site_label
_atom_site_type_symbol
_atom_site_fract_x
_atom_site_fract_y
_atom_site_fract_z
Sn1 Sn 0.0000 0.0000 0.0000
Sn2 Sn 0.1896 0.0019 0.3472
Sn3 Sn 0.4036 0.5050 0.3215
O1 O 0.0562 0.6981 0.7895
O2 O 0.1359 0.1748 0.0350
O3 O 0.4577 0.6777 0.6311
```

3.
Compound: H2PdBr5
Source: the Alexandria database
Functional: PBE
Structure: relaxed

Summary:
* VASP energy: -2.695 eV/atom

Geometry as CIF:
```
data_H2PdBr5
_chemical_formula_sum 'H2 Pd1 Br5'
_cell_length_a 4.2197
_cell_length_b 7.6362
_cell_length_c 7.8276
_cell_angle_alpha 81.41
_cell_angle_beta 74.81
_cell_angle_gamma 87.79
_symmetry_space_group_name_H-M 'P 1'
_symmetry_Int_Tables_number 1
loop_
_symmetry_equiv_pos_as_xyz
'x,y,z'
loop_
_atom_site_label
_atom_site_type_symbol
_atom_site_fract_x
_atom_site_fract_y
_atom_site_fract_z
H1 H 0.0000 0.0000 0.0000
H2 H 0.0652 0.9304 0.6616
Pd1 Pd 0.2150 0.6414 0.2577
Br1 Br 0.0629 0.6648 0.5823
Br2 Br 0.0649 0.1055 0.7230
Br3 Br 0.3903 0.6230 0.9378
Br4 Br 0.6898 0.4590 0.2970
Br5 Br 0.9272 0.9581 0.2011
```

Respective V values: 978 413 241 Å³/cell.